{"formula": "CdCo2CuO", "functional": "GGA+U", "state": "optimized geometry", "lattice_angstrom": [[-1.819, 1.955, -2.755], [-4.304, -0.623, 2.400], [0.600, 3.266, 1.922]], "species": ["Co", "Co", "O", "Cu", "Cd"], "frac_coords": [[0.000, 0.000, 0.500], [0.500, 0.000, 0.000], [0.000, 0.000, 0.000], [0.500, 0.500, 0.500], [0.000, 0.500, 0.000]], "dft_energy_ev_per_atom": -3.89, "rho_g_cm3": 7.03, "spacegroup": "P4/mmm"}